VASP calculation (PBE) on an optimized crystal structure of NdYS2.

Offset from the most stable computed form in meV/atom: 0
Space group: C2/m, No. 12

Unit cell a=3.974 b=3.974 c=6.969 alpha=106.64 beta=106.64 gamma=60.17
Fractional coordinates of all 4 atoms:
Nd 0.000 0.000 0.000
Y 0.500 0.500 0.500
S 0.245 0.245 0.735
S 0.755 0.755 0.265



VASP calculation (PBE) on an optimized crystal structure of NdY4S7.

Space group: Cm, No. 8

Unit cell a=6.793 b=6.793 c=11.716 alpha=103.86 beta=103.86 gamma=32.83
Fractional coordinates of all 12 atoms:
Nd 0.000 0.000 0.000
Y 0.112 0.112 0.422
Y 0.223 0.223 0.838
Y 0.412 0.412 0.606
Y 0.812 0.812 0.235
S 0.068 0.068 0.634
S 0.157 0.157 0.210
S 0.364 0.364 0.069
S 0.454 0.454 0.370
S 0.615 0.615 0.915
S 0.771 0.771 0.471
S 0.850 0.850 0.768



E_form (uncorrected) in meV/atom, matching the order above: -2017, -2059